No. 1
A plane-wave DFT calculation with PBE was carried out for crystalline TbTl3Sb2O9 at its relaxed geometry.

Lattice parameters (Å, degrees): 5.873 5.873 7.298 90.00 90.00 120.00
Atoms (fractional coordinates):
O: 0.172 0.828 0.308
Tl: 0.000 0.000 0.000
Sb: 0.667 0.333 0.841
O: 0.344 0.172 0.692
O: 0.656 0.828 0.308
O: 0.000 0.500 0.000
O: 0.828 0.172 0.692
Tb: 0.000 0.000 0.500
Tl: 0.333 0.667 0.662
O: 0.828 0.656 0.692
Sb: 0.333 0.667 0.159
O: 0.172 0.344 0.308
O: 0.500 0.500 0.000
Tl: 0.667 0.333 0.338
O: 0.500 0.000 0.000

## Properties
The energy relative to the elements, uncorrected comes out at -31.5 kcal/mol of atoms.


No. 2
A plane-wave DFT calculation with PBE was carried out for crystalline CaSiSb2 at its relaxed geometry.

Lattice parameters (Å, degrees): 5.943 5.943 5.337 63.38 63.38 37.00
Atoms (fractional coordinates):
Sb: 0.541 0.541 0.462
Sb: 0.959 0.959 0.038
Si: 0.250 0.250 0.250
Ca: 0.750 0.750 0.750

## Properties
The energy relative to the elements, uncorrected comes out at -4.2 kcal/mol of atoms.


No. 3
A plane-wave DFT calculation with PBE was carried out for crystalline TaCo3Pb at its relaxed geometry.

Lattice parameters (Å, degrees): 4.577 4.577 4.577 90.00 90.00 90.00
Atoms (fractional coordinates):
Ta: 0.000 0.000 0.000
Pb: 0.500 0.500 0.500
Co: 0.000 0.000 0.500
Co: 0.000 0.500 0.000
Co: 0.500 0.000 0.000

## Properties
The energy above the most stable polymorph in this dataset is 0.000 eV/atom.


No. 4
A plane-wave DFT calculation with PBE was carried out for crystalline SmBe2Ir3 at its relaxed geometry.

Lattice parameters (Å, degrees): 5.448 5.448 3.485 90.00 90.00 120.00
Atoms (fractional coordinates):
Be: 0.333 0.667 0.000
Ir: 0.500 0.000 0.500
Sm: 0.000 0.000 0.000
Be: 0.667 0.333 0.000
Ir: 0.000 0.500 0.500
Ir: 0.500 0.500 0.500

## Properties
Its total DFT energy (no corrections) is -7.12 eV per atom.


No. 5
A plane-wave DFT calculation with PBE was carried out for crystalline Cr2Ag at its relaxed geometry.

Lattice parameters (Å, degrees): 4.874 4.874 4.874 60.00 60.00 60.00
Atoms (fractional coordinates):
Cr: 0.125 0.125 0.625
Cr: 0.625 0.125 0.125
Ag: 0.750 0.750 0.750
Cr: 0.125 0.125 0.125
Ag: 0.500 0.500 0.500
Cr: 0.125 0.625 0.125

## Properties
Its total DFT energy (no corrections) is -6.82 eV per atom.


No. 6
A plane-wave DFT calculation with PBE was carried out for crystalline H2IrO at its relaxed geometry.

Lattice parameters (Å, degrees): 4.372 4.372 4.371 59.99 59.99 90.00
Atoms (fractional coordinates):
O: 0.250 0.750 0.500
O: 0.500 0.500 0.000
H: 0.375 0.625 0.250
Ir: 0.000 0.000 0.000
H: 0.375 0.125 0.250
Ir: 0.750 0.250 0.500
H: 0.875 0.625 0.750
H: 0.375 0.625 0.750

## Properties
The energy above the most stable polymorph in this dataset is 0.000 eV/atom.


No. 7
A plane-wave DFT calculation with PBE was carried out for crystalline CaPuHO5 at its relaxed geometry.

Lattice parameters (Å, degrees): 5.765 5.765 8.316 105.73 105.73 108.61
Atoms (fractional coordinates):
O: 0.293 0.368 0.615
O: 0.632 0.707 0.885
O: 0.707 0.632 0.385
Ca: 0.302 0.698 0.250
O: 0.881 0.274 0.052
Pu: 0.000 0.000 0.500
Ca: 0.698 0.302 0.750
O: 0.274 0.881 0.552
O: 0.726 0.119 0.448
O: 0.119 0.726 0.948
O: 0.050 0.950 0.250
O: 0.368 0.293 0.115
O: 0.950 0.050 0.750
Pu: 0.000 0.000 0.000
H: 0.565 0.435 0.250
H: 0.435 0.565 0.750

## Properties
Its total DFT energy (no corrections) is -7.75 eV per atom.


No. 8
A plane-wave DFT calculation with PBE was carried out for crystalline KZnRu at its relaxed geometry.

Lattice parameters (Å, degrees): 6.434 6.434 6.434 155.55 142.00 45.71
Atoms (fractional coordinates):
Zn: 0.724 0.724 0.000
Ru: 0.277 0.277 0.000
K: 0.998 0.998 0.000

## Properties
The energy above the most stable polymorph in this dataset is 0.000 eV/atom.